# Pm3Nd4Mg | Alexandria via LeMat-Bulk | PBE | relaxed
# DFT formation energy = 7.1 kJ per mole of atoms
# Offset from the most stable computed form = 0.51 eV/f.u.
# Crystal system = tetragonal
# Magnetic moment = 0.000 μB per atom
data_Pm3Nd4Mg
_chemical_formula_sum 'Pm3 Nd4 Mg1'
_symmetry_space_group_name_H-M 'P 4/m m m'
_symmetry_Int_Tables_number 123
_symmetry_space_group_name_Hall '-P 4 2'
_cell_length_a 4.209
_cell_length_b 4.209
_cell_length_c 15.122
_cell_angle_alpha 90.00
_cell_angle_beta 90.00
_cell_angle_gamma 90.00
loop_
_atom_site_label
_atom_site_type_symbol
_atom_site_fract_x
_atom_site_fract_y
_atom_site_fract_z
_atom_site_occupancy
Pm1 Pm 0.000 0.000 0.000 1
Pm2 Pm 0.000 0.000 0.246 1
Nd1 Nd 0.500 0.500 0.122 1
Nd2 Nd 0.500 0.500 0.383 1
Mg1 Mg 0.000 0.000 0.500 1

---

# PmNd3Mg2 | Alexandria via LeMat-Bulk | PBE | relaxed
# DFT formation energy = -5.9 kJ per mole of atoms
# Crystal system = tetragonal
# Magnetic moment = 0.000 μB per atom
data_PmNd3Mg2
_chemical_formula_sum 'Pm1 Nd3 Mg2'
_symmetry_space_group_name_H-M 'P 4/m m m'
_symmetry_Int_Tables_number 123
_symmetry_space_group_name_Hall '-P 4 2'
_cell_length_a 3.808
_cell_length_b 3.808
_cell_length_c 12.979
_cell_angle_alpha 90.00
_cell_angle_beta 90.00
_cell_angle_gamma 90.00
loop_
_atom_site_label
_atom_site_type_symbol
_atom_site_fract_x
_atom_site_fract_y
_atom_site_fract_z
_atom_site_occupancy
Pm1 Pm 0.000 0.000 0.000 1
Nd1 Nd 0.500 0.500 0.194 1
Nd2 Nd 0.500 0.500 0.500 1
Mg1 Mg 0.000 0.000 0.347 1

---

Q: What is the DFT formation energy in the first record?
A: 7.1 kJ per mole of atoms

---

Q: Which formula does entry 2 have?
A: PmNd3Mg2

---

Please write out number 1 again, unchanged.
# Pm3Nd4Mg | Alexandria via LeMat-Bulk | PBE | relaxed
# DFT formation energy = 7.1 kJ per mole of atoms
# Offset from the most stable computed form = 0.51 eV/f.u.
# Crystal system = tetragonal
# Magnetic moment = 0.000 μB per atom
data_Pm3Nd4Mg
_chemical_formula_sum 'Pm3 Nd4 Mg1'
_symmetry_space_group_name_H-M 'P 4/m m m'
_symmetry_Int_Tables_number 123
_symmetry_space_group_name_Hall '-P 4 2'
_cell_length_a 4.209
_cell_length_b 4.209
_cell_length_c 15.122
_cell_angle_alpha 90.00
_cell_angle_beta 90.00
_cell_angle_gamma 90.00
loop_
_atom_site_label
_atom_site_type_symbol
_atom_site_fract_x
_atom_site_fract_y
_atom_site_fract_z
_atom_site_occupancy
Pm1 Pm 0.000 0.000 0.000 1
Pm2 Pm 0.000 0.000 0.246 1
Nd1 Nd 0.500 0.500 0.122 1
Nd2 Nd 0.500 0.500 0.383 1
Mg1 Mg 0.000 0.000 0.500 1